# Sc2Be4Si3Os (PBE, optimized geometry)
data_Sc2Be4Si3Os
_cell_length_a 3.648
_cell_length_b 3.648
_cell_length_c 9.948
_cell_angle_alpha 90.00
_cell_angle_beta 90.00
_cell_angle_gamma 90.00
_symmetry_space_group_name_H-M 'P 1'
_symmetry_Int_Tables_number 1
loop_
_symmetry_equiv_pos_as_xyz
'x,y,z'
loop_
_atom_site_label
_atom_site_fract_x
_atom_site_fract_y
_atom_site_fract_z
_atom_site_occupancy
Sc1 0.000 0.500 0.246 1
Sc2 0.500 0.000 0.754 1
Be1 0.000 0.000 0.000 1
Be2 0.000 0.500 0.643 1
Be3 0.500 0.000 0.357 1
Be4 0.500 0.500 0.000 1
Si1 0.000 0.500 0.863 1
Si2 0.500 0.000 0.137 1
Si3 0.500 0.500 0.500 1
Os1 0.000 0.000 0.500 1
# formation energy from raw total energies	-0.3942	eV/atom
# crystal system	tetragonal
# size of the total moment	0.00	μB/cell
# volume	13.24	Å³/atom

---

# LiAcPmCu (PBE, optimized geometry)
data_LiAcPmCu
_cell_length_a 5.346
_cell_length_b 5.346
_cell_length_c 5.346
_cell_angle_alpha 60.00
_cell_angle_beta 60.00
_cell_angle_gamma 60.00
_symmetry_space_group_name_H-M 'P 1'
_symmetry_Int_Tables_number 1
loop_
_symmetry_equiv_pos_as_xyz
'x,y,z'
loop_
_atom_site_label
_atom_site_fract_x
_atom_site_fract_y
_atom_site_fract_z
_atom_site_occupancy
Li1 0.000 0.000 0.000 1
Ac1 0.250 0.250 0.250 1
Pm1 0.750 0.750 0.750 1
Cu1 0.500 0.500 0.500 1
# energy of formation	4.5	kJ/mol of atoms
# crystal system	cubic
# size of the total moment	0.00	μB/cell
# volume	27.01	Å³/atom

---

# LaP2Pt (PBE, optimized geometry)
data_LaP2Pt
_cell_length_a 5.652
_cell_length_b 5.652
_cell_length_c 4.445
_cell_angle_alpha 90.09
_cell_angle_beta 90.09
_cell_angle_gamma 42.36
_symmetry_space_group_name_H-M 'P 1'
_symmetry_Int_Tables_number 1
loop_
_symmetry_equiv_pos_as_xyz
'x,y,z'
loop_
_atom_site_label
_atom_site_fract_x
_atom_site_fract_y
_atom_site_fract_z
_atom_site_occupancy
La1 0.000 0.000 0.000 1
P1 0.573 0.573 0.500 1
P2 0.809 0.809 0.500 1
Pt1 0.202 0.202 0.501 1
# energy of formation	-82.5	kJ/mol of atoms
# offset from the most stable computed form	151.2	meV per atom
# crystal system	monoclinic
# size of the total moment	0.00	μB/cell
# volume	23.92	Å³/atom

---

# ThScHg3 (PBE, optimized geometry)
data_ThScHg3
_cell_length_a 9.314
_cell_length_b 9.314
_cell_length_c 5.846
_cell_angle_alpha 99.31
_cell_angle_beta 99.31
_cell_angle_gamma 29.92
_symmetry_space_group_name_H-M 'P 1'
_symmetry_Int_Tables_number 1
loop_
_symmetry_equiv_pos_as_xyz
'x,y,z'
loop_
_atom_site_label
_atom_site_fract_x
_atom_site_fract_y
_atom_site_fract_z
_atom_site_occupancy
Th1 0.073 0.073 0.340 1
Th2 0.927 0.927 0.660 1
Sc1 0.279 0.279 0.271 1
Sc2 0.721 0.721 0.729 1
Hg1 0.148 0.148 0.876 1
Hg2 0.317 0.317 0.765 1
Hg3 0.456 0.456 0.209 1
Hg4 0.544 0.544 0.791 1
Hg5 0.683 0.683 0.235 1
Hg6 0.852 0.852 0.124 1
# energy of formation	-23.0	kJ/mol of atoms
# offset from the most stable computed form	56.3	meV per atom
# crystal system	monoclinic
# size of the total moment	0.00	μB/cell
# volume	24.94	Å³/atom

---

# CuSeN3 (PBE, optimized geometry)
data_CuSeN3
_cell_length_a 3.741
_cell_length_b 3.741
_cell_length_c 3.741
_cell_angle_alpha 90.00
_cell_angle_beta 90.00
_cell_angle_gamma 90.00
_symmetry_space_group_name_H-M 'P 1'
_symmetry_Int_Tables_number 1
loop_
_symmetry_equiv_pos_as_xyz
'x,y,z'
loop_
_atom_site_label
_atom_site_fract_x
_atom_site_fract_y
_atom_site_fract_z
_atom_site_occupancy
Cu1 0.000 0.000 0.000 1
Se1 0.500 0.500 0.500 1
N1 0.000 0.500 0.500 1
N2 0.500 0.000 0.500 1
N3 0.500 0.500 0.000 1
# formation energy from raw total energies	2.1783	eV/atom
# crystal system	cubic
# size of the total moment	0.00	μB/cell
# volume	10.47	Å³/atom

---

# Ti3Al2Pd2 (PBE, optimized geometry)
data_Ti3Al2Pd2
_cell_length_a 4.468
_cell_length_b 4.468
_cell_length_c 6.877
_cell_angle_alpha 108.84
_cell_angle_beta 108.84
_cell_angle_gamma 59.90
_symmetry_space_group_name_H-M 'P 1'
_symmetry_Int_Tables_number 1
loop_
_symmetry_equiv_pos_as_xyz
'x,y,z'
loop_
_atom_site_label
_atom_site_fract_x
_atom_site_fract_y
_atom_site_fract_z
_atom_site_occupancy
Ti1 0.000 0.000 0.000 1
Ti2 0.143 0.143 0.430 1
Ti3 0.857 0.857 0.570 1
Al1 0.425 0.425 0.273 1
Al2 0.575 0.575 0.727 1
Pd1 0.281 0.281 0.844 1
Pd2 0.719 0.719 0.156 1
# energy of formation	-49.0	kJ/mol of atoms
# crystal system	monoclinic
# size of the total moment	1.85	μB/cell
# volume	15.75	Å³/atom